The following is a DFT calculation (GGA-PBE) of a relaxed LuInAsO crystal.

```
LuInAsO
1.0
4.0538 0.0000 0.0000
0.0000 7.6211 0.0000
0.0000 0.0000 5.8212
As In O Lu
2 2 2 2
Cartesian
0.0000 6.2138 2.4015
0.0000 1.4072 5.3121
2.0269 4.6206 3.0205
2.0269 3.0004 0.1099
2.0269 2.1093 2.3324
2.0269 5.5118 5.2430
0.0000 6.2180 5.3665
0.0000 1.4030 2.4559
```


The following is a DFT calculation (GGA-PBE) of a relaxed Tl2PtF6 crystal.

```
Tl2PtF6
1.0
0.0000 4.1517 4.1517
4.1517 0.0000 4.1517
4.1517 4.1517 0.0000
F Tl Pt
6 2 1
Cartesian
4.1517 4.1517 1.9695
6.3340 4.1517 4.1517
1.9695 4.1517 4.1517
4.1517 6.3340 4.1517
4.1517 4.1517 6.3340
4.1517 1.9695 4.1517
2.0759 2.0759 2.0759
6.2276 6.2276 6.2276
0.0000 0.0000 0.0000
```


The following is a DFT calculation (GGA-PBE) of a relaxed ZrTcNO crystal.

```
ZrTcNO
1.0
-1.1109 -1.4718 -2.7705
1.0775 -4.8971 2.1694
-5.4161 -0.1859 2.2704
Tc O Zr N
2 2 2 2
Cartesian
-1.7979 -0.9407 -0.7783
-4.1195 -3.4875 1.5055
-4.3712 -5.2311 2.5327
-0.7884 -2.6410 -0.2798
-1.4111 -2.3938 1.8374
-2.4418 -4.8962 3.5800
-0.5756 -4.2695 2.4989
-3.5231 -1.9036 2.4238
```


The following is a DFT calculation (GGA-PBE) of a relaxed Sm2Hg crystal.

```
Sm2Hg
1.0
0.0000 3.6595 3.6595
3.6595 0.0000 3.6595
3.6595 3.6595 0.0000
Sm Hg
2 1
Cartesian
1.8297 1.8297 1.8297
5.4892 5.4892 5.4892
0.0000 0.0000 0.0000
```


The following is a DFT calculation (GGA-PBE) of a relaxed YCuNiB crystal.

```
YCuNiB
1.0
-2.0200 -3.5168 1.4954
-2.2686 0.2085 3.6735
-4.3154 -0.2243 -0.1091
Ni B Cu Y
1 1 1 1
Cartesian
-4.3020 -1.7663 2.5299
0.0000 0.0000 0.0000
-6.4530 -2.6494 3.7948
-2.1510 -0.8831 1.2649
```


The following is a DFT calculation (GGA-PBE) of a relaxed ThAgPt crystal.

```
ThAgPt
1.0
4.4663 -1.0974 -1.2052
1.6824 -4.3680 0.8338
0.8242 -2.9623 -3.6263
Th Pt Ag
1 1 1
Cartesian
5.2297 -6.3207 -2.9983
0.0000 0.0000 0.0000
1.7432 -2.1069 -0.9994
```


For each record above, in turn, the calculated E values are -5.522, -4.073, -9.106, -3.340, -5.351, -6.059 eV/atom.